Record 1
# TaSiMo (PBE, relaxed)
data_TaSiMo
_cell_length_a 9.302
_cell_length_b 3.335
_cell_length_c 6.359
_cell_angle_alpha 90.00
_cell_angle_beta 103.29
_cell_angle_gamma 90.00
_symmetry_space_group_name_H-M 'C 1 m 1'
_symmetry_Int_Tables_number 8
loop_
_symmetry_equiv_pos_as_xyz
'x,y,z'
'x,-y,z'
'x+1/2,y+1/2,z'
'x+1/2,-y+1/2,z'
loop_
_atom_site_label
_atom_site_fract_x
_atom_site_fract_y
_atom_site_fract_z
Ta1 0.000 0.000 0.000
Ta2 0.141 0.500 0.351
Si1 0.083 0.500 0.747
Si2 0.314 0.000 0.157
Mo1 0.284 0.000 0.732
Mo2 0.437 0.500 0.474
# - ΔE_f (raw): -0.2848 eV per atom
# - Fermi-level density of states: 5.577 states/eV per cell
# - Electronic total energy: -0.7095 Ry per atom
# - Calculated volume: 16.0 A^3/atom

---

Record 2
# Ta6SiMo5 (PBE, relaxed)
data_Ta6SiMo5
_cell_length_a 4.543
_cell_length_b 6.473
_cell_length_c 13.644
_cell_angle_alpha 90.00
_cell_angle_beta 90.00
_cell_angle_gamma 90.00
_symmetry_space_group_name_H-M 'I m m m'
_symmetry_Int_Tables_number 71
_symmetry_space_group_name_Hall '-I 2 2'
loop_
_atom_site_label
_atom_site_fract_x
_atom_site_fract_y
_atom_site_fract_z
Ta1 0.000 0.243 0.000
Ta2 0.000 0.252 0.332
Si1 0.000 0.000 0.500
Mo1 0.000 0.000 0.168
Mo2 0.000 0.500 0.161
Mo3 0.000 0.500 0.500
# - ΔE_f (raw): -0.2090 eV per atom
# - Fermi-level density of states: 15.081 states/eV per cell
# - Electronic total energy: -0.8159 Ry per atom
# - Calculated volume: 16.7 A^3/atom

---

Record 3
# TaSiMo2 (PBE, relaxed)
data_TaSiMo2
_cell_length_a 3.749
_cell_length_b 3.749
_cell_length_c 8.952
_cell_angle_alpha 90.00
_cell_angle_beta 90.00
_cell_angle_gamma 90.00
_symmetry_space_group_name_H-M 'I 4/m m m'
_symmetry_Int_Tables_number 139
_symmetry_space_group_name_Hall '-I 4 2'
loop_
_atom_site_label
_atom_site_fract_x
_atom_site_fract_y
_atom_site_fract_z
Ta1 0.000 0.000 0.000
Si1 0.000 0.000 0.500
Mo1 0.000 0.500 0.250
# - ΔE_f (raw): -0.0711 eV per atom
# - Fermi-level density of states: 5.709 states/eV per cell
# - Electronic total energy: -0.7207 Ry per atom
# - Calculated volume: 15.7 A^3/atom

---

Record 4
# TaSiMo2 (PBE, relaxed)
data_TaSiMo2
_cell_length_a 3.277
_cell_length_b 4.352
_cell_length_c 8.746
_cell_angle_alpha 90.00
_cell_angle_beta 90.00
_cell_angle_gamma 90.00
_symmetry_space_group_name_H-M 'I m m 2'
_symmetry_Int_Tables_number 44
loop_
_symmetry_equiv_pos_as_xyz
'x,y,z'
'-x,-y,z'
'-x,y,z'
'x,-y,z'
'x+1/2,y+1/2,z+1/2'
'-x+1/2,-y+1/2,z+1/2'
'-x+1/2,y+1/2,z+1/2'
'x+1/2,-y+1/2,z+1/2'
loop_
_atom_site_label
_atom_site_fract_x
_atom_site_fract_y
_atom_site_fract_z
Ta1 0.000 0.000 0.000
Si1 0.000 0.500 0.238
Mo1 0.000 0.000 0.491
Mo2 0.000 0.500 0.749
# - ΔE_f (raw): -0.1947 eV per atom
# - Fermi-level density of states: 7.068 states/eV per cell
# - Electronic total energy: -0.7298 Ry per atom
# - Calculated volume: 15.6 A^3/atom

---

Record 5
# TaSiMo2 (PBE, relaxed)
data_TaSiMo2
_cell_length_a 3.301
_cell_length_b 3.301
_cell_length_c 5.763
_cell_angle_alpha 90.00
_cell_angle_beta 90.00
_cell_angle_gamma 90.00
_symmetry_space_group_name_H-M 'P 4/m m m'
_symmetry_Int_Tables_number 123
_symmetry_space_group_name_Hall '-P 4 2'
loop_
_atom_site_label
_atom_site_fract_x
_atom_site_fract_y
_atom_site_fract_z
Ta1 0.000 0.000 0.000
Si1 0.000 0.000 0.500
Mo1 0.500 0.500 0.271
# - ΔE_f (raw): -0.2044 eV per atom
# - Fermi-level density of states: 2.845 states/eV per cell
# - Electronic total energy: -0.7305 Ry per atom
# - Calculated volume: 15.7 A^3/atom

---

Record 6
# TaSi2Mo2 (PBE, relaxed)
data_TaSi2Mo2
_cell_length_a 6.791
_cell_length_b 6.791
_cell_length_c 3.241
_cell_angle_alpha 90.00
_cell_angle_beta 90.00
_cell_angle_gamma 90.00
_symmetry_space_group_name_H-M 'P 4/m b m'
_symmetry_Int_Tables_number 127
_symmetry_space_group_name_Hall '-P 4 2ab'
loop_
_atom_site_label
_atom_site_fract_x
_atom_site_fract_y
_atom_site_fract_z
Ta1 0.000 0.000 0.000
Si1 0.133 0.367 0.000
Mo1 0.159 0.659 0.500
# - ΔE_f (raw): -0.3518 eV per atom
# - Fermi-level density of states: 7.472 states/eV per cell
# - Electronic total energy: -0.6780 Ry per atom
# - Calculated volume: 14.9 A^3/atom

---

Record 7
# TaSiMo (PBE, relaxed)
data_TaSiMo
_cell_length_a 5.039
_cell_length_b 6.071
_cell_length_c 6.060
_cell_angle_alpha 90.00
_cell_angle_beta 90.00
_cell_angle_gamma 90.00
_symmetry_space_group_name_H-M 'I m a 2'
_symmetry_Int_Tables_number 46
loop_
_symmetry_equiv_pos_as_xyz
'x,y,z'
'-x,-y,z'
'-x+1/2,y,z'
'x+1/2,-y,z'
'x+1/2,y+1/2,z+1/2'
'-x+1/2,-y+1/2,z+1/2'
'-x,y+1/2,z+1/2'
'x,-y+1/2,z+1/2'
loop_
_atom_site_label
_atom_site_fract_x
_atom_site_fract_y
_atom_site_fract_z
Ta1 0.250 0.152 0.000
Si1 0.000 0.000 0.651
Mo1 0.250 0.673 0.823
# - ΔE_f (raw): -0.4559 eV per atom
# - Fermi-level density of states: 11.332 states/eV per cell
# - Electronic total energy: -0.7221 Ry per atom
# - Calculated volume: 15.4 A^3/atom

---

Record 8
# TaSiMo2 (PBE, relaxed)
data_TaSiMo2
_cell_length_a 3.282
_cell_length_b 4.609
_cell_length_c 8.342
_cell_angle_alpha 90.00
_cell_angle_beta 90.00
_cell_angle_gamma 90.00
_symmetry_space_group_name_H-M 'C m m m'
_symmetry_Int_Tables_number 65
_symmetry_space_group_name_Hall '-C 2 2'
loop_
_atom_site_label
_atom_site_fract_x
_atom_site_fract_y
_atom_site_fract_z
Ta1 0.000 0.000 0.000
Si1 0.000 0.000 0.500
Mo1 0.000 0.500 0.270
# - ΔE_f (raw): -0.1447 eV per atom
# - Fermi-level density of states: 4.057 states/eV per cell
# - Electronic total energy: -0.7261 Ry per atom
# - Calculated volume: 15.8 A^3/atom

---

Q: The highest Fermi-level density of states belongs to which entry?
A: Ta6SiMo5